Entry 1:
First-principles (PBE-GGA) data for crystalline U3Co2Ge3 at its relaxed geometry, as listed in Alexandria.

Cell lengths 5.4954, 7.5952, 13.9442 Å; angles 90.00, 90.00, 90.00 degrees
Each line ends with the local moment (μB).
Sites, in units of the cell vectors:
1 Co 0.1256 0.8913 0.6135  -0.47
2 Ge 0.1406 0.1839 0.2500  -0.04
3 U 0.0983 0.4683 0.3943  1.92
4 U 0.6435 0.3417 0.2500  1.58
5 U 0.9017 0.5317 0.8943  1.92
6 U 0.1435 0.1583 0.7500  1.58
7 U 0.3565 0.6583 0.7500  1.58
8 Ge 0.9014 0.8215 0.0390  -0.03
9 Co 0.6256 0.6087 0.3865  -0.47
10 Ge 0.9014 0.8215 0.4610  -0.03
11 U 0.4017 0.9683 0.3943  1.92
12 U 0.9017 0.5317 0.6057  1.92
13 Ge 0.3594 0.6839 0.2500  -0.04
14 Ge 0.0986 0.1785 0.9610  -0.03
15 U 0.5983 0.0317 0.8943  1.92
16 Co 0.3744 0.3913 0.6135  -0.47
17 Ge 0.4014 0.6785 0.9610  -0.03
18 Ge 0.4014 0.6785 0.5390  -0.03
19 Ge 0.6406 0.3161 0.7500  -0.04
20 U 0.0983 0.4683 0.1057  1.92
21 Co 0.8744 0.1087 0.1135  -0.47
22 Co 0.8744 0.1087 0.3865  -0.47
23 Ge 0.8594 0.8161 0.7500  -0.04
24 Co 0.3744 0.3913 0.8865  -0.47
25 U 0.4017 0.9683 0.1057  1.92
26 Co 0.6256 0.6087 0.1135  -0.47
27 Ge 0.5986 0.3215 0.0390  -0.03
28 Ge 0.0986 0.1785 0.5390  -0.03
29 U 0.5983 0.0317 0.6057  1.92
30 U 0.8565 0.8417 0.2500  1.58
31 Co 0.1256 0.8913 0.8865  -0.47
32 Ge 0.5986 0.3215 0.4610  -0.03

=====

Entry 2:
First-principles (PBE-GGA) data for crystalline U3Co6Ge5 at its relaxed geometry, as listed in Alexandria.

Cell lengths 3.9438, 8.8168, 12.4071 Å; angles 90.00, 90.00, 90.00 degrees
Each line ends with the local moment (μB).
Sites, in units of the cell vectors:
1 Ge 0.0000 0.8664 0.6583  0.01
2 Ge 0.5000 0.1336 0.1583  0.01
3 Co 0.5000 0.9768 0.0000  0.75
4 Ge 0.5000 0.1336 0.8417  0.01
5 Ge 0.5000 0.4754 0.3825  0.01
6 Co 0.0000 0.9826 0.8359  0.78
7 Co 0.5000 0.0174 0.6641  0.78
8 Co 0.5000 0.4001 0.1972  0.26
9 Co 0.5000 0.4001 0.8028  0.26
10 Ge 0.5000 0.1809 0.5000  0.01
11 U 0.5000 0.7586 0.5000  1.54
12 Ge 0.0000 0.8191 0.0000  0.01
13 Co 0.5000 0.0174 0.3359  0.78
14 Co 0.0000 0.5260 0.5000  -0.31
15 Ge 0.0000 0.5246 0.8825  0.01
16 Co 0.0000 0.5999 0.3028  0.26
17 U 0.0000 0.2430 0.6841  -1.00
18 Co 0.0000 0.0232 0.5000  0.75
19 Co 0.0000 0.5999 0.6972  0.26
20 U 0.0000 0.2430 0.3159  -1.00
21 U 0.0000 0.2414 0.0000  1.54
22 Ge 0.0000 0.5246 0.1175  0.01
23 Co 0.5000 0.4740 0.0000  -0.31
24 Ge 0.0000 0.8664 0.3417  0.01
25 Co 0.0000 0.9826 0.1641  0.78
26 U 0.5000 0.7570 0.8159  -1.00
27 Ge 0.5000 0.4754 0.6175  0.01
28 U 0.5000 0.7570 0.1841  -1.00

=====

Entry 3:
First-principles (PBE-GGA) data for crystalline U2CoGe2 at its relaxed geometry, as listed in Alexandria.

Cell lengths 7.5375, 5.5561, 9.1750 Å; angles 90.00, 101.85, 90.00 degrees
Each line ends with the local moment (μB).
Sites, in units of the cell vectors:
1 Ge 0.7754 0.3535 0.8695  -0.01
2 U 0.9355 0.8609 0.8945  0.31
3 Ge 0.6492 0.4140 0.4305  -0.02
4 Ge 0.1492 0.0860 0.4305  -0.02
5 U 0.0645 0.1391 0.1055  0.31
6 Ge 0.3508 0.5860 0.5695  -0.02
7 Co 0.8322 0.1320 0.3271  -0.06
8 U 0.5016 0.0862 0.6317  1.05
9 U 0.4984 0.9138 0.3683  1.05
10 U 0.0016 0.4138 0.6317  1.05
11 U 0.9984 0.5862 0.3683  1.05
12 Ge 0.2246 0.6465 0.1305  -0.01
13 Ge 0.8508 0.9140 0.5695  -0.02
14 Co 0.3322 0.3680 0.3271  -0.06
15 U 0.5645 0.3609 0.1055  0.31
16 Ge 0.2754 0.1465 0.8695  -0.01
17 U 0.4355 0.6391 0.8945  0.31
18 Co 0.6678 0.6320 0.6729  -0.06
19 Co 0.1678 0.8680 0.6729  -0.06
20 Ge 0.7246 0.8535 0.1305  -0.01

=====

Entry 4:
First-principles (PBE-GGA) data for crystalline U3Co5Ge6 at its relaxed geometry, as listed in Alexandria.

Cell lengths 4.0469, 8.4005, 13.1016 Å; angles 90.00, 90.00, 90.00 degrees
Each line ends with the local moment (μB).
Sites, in units of the cell vectors:
1 Co 0.0000 0.5378 0.9014  -0.47
2 Co 0.5000 0.4622 0.4014  -0.47
3 Ge 0.5000 0.0322 0.6577  -0.02
4 Co 0.0000 0.8774 0.6592  -0.35
5 Co 0.5000 0.4622 0.5986  -0.47
6 Co 0.5000 0.1226 0.8408  -0.35
7 U 0.5000 0.7495 0.5000  1.58
8 Ge 0.0000 0.9678 0.8423  -0.02
9 Co 0.5000 0.1910 0.5000  -0.07
10 Ge 0.0000 0.9678 0.1577  -0.02
11 Ge 0.0000 0.6009 0.6463  -0.03
12 Co 0.0000 0.8774 0.3408  -0.35
13 U 0.5000 0.7273 0.7831  1.57
14 Ge 0.5000 0.9722 0.0000  0.00
15 U 0.0000 0.2727 0.7169  1.57
16 Ge 0.5000 0.0322 0.3423  -0.02
17 Co 0.0000 0.5378 0.0986  -0.47
18 Co 0.0000 0.8090 0.0000  -0.07
19 Ge 0.5000 0.3991 0.8537  -0.03
20 Ge 0.0000 0.6009 0.3537  -0.03
21 U 0.5000 0.7273 0.2169  1.57
22 Ge 0.5000 0.3991 0.1463  -0.03
23 Co 0.5000 0.1226 0.1592  -0.35
24 Ge 0.0000 0.3708 0.5000  0.00
25 Ge 0.0000 0.0278 0.5000  0.00
26 U 0.0000 0.2727 0.2831  1.57
27 U 0.0000 0.2505 0.0000  1.58
28 Ge 0.5000 0.6292 0.0000  0.00

=====

Entry 5:
First-principles (PBE-GGA) data for crystalline UCo4Ge4 at its relaxed geometry, as listed in Alexandria.

Cell lengths 5.7648, 5.7648, 7.9773 Å; angles 90.00, 90.00, 90.00 degrees
Each line ends with the local moment (μB).
Sites, in units of the cell vectors:
1 Co 0.0000 0.2790 0.3897  -0.09
2 Co 0.5000 0.2210 0.1103  -0.09
3 Ge 0.7829 0.5000 0.1826  0.00
4 Co 0.7210 0.0000 0.6103  -0.09
5 Ge 0.0000 0.2829 0.6826  0.00
6 Ge 0.5000 0.7829 0.8174  0.00
7 Co 0.2210 0.5000 0.8897  -0.09
8 Co 0.2790 0.0000 0.6103  -0.09
9 Ge 0.7171 0.0000 0.3174  0.00
10 U 0.5000 0.5000 0.5000  2.20
11 U 0.0000 0.0000 0.0000  2.20
12 Co 0.0000 0.7210 0.3897  -0.09
13 Ge 0.2171 0.5000 0.1826  0.00
14 Co 0.5000 0.7790 0.1103  -0.09
15 Ge 0.5000 0.2171 0.8174  0.00
16 Ge 0.0000 0.7171 0.6826  0.00
17 Ge 0.2829 0.0000 0.3174  0.00
18 Co 0.7790 0.5000 0.8897  -0.09

=====

Entry 6:
First-principles (PBE-GGA) data for crystalline U2Co12Ge7 at its relaxed geometry, as listed in Alexandria.

Cell lengths 3.7339, 9.3456, 9.3456 Å; angles 120.00, 90.00, 90.00 degrees
Each line ends with the local moment (μB).
Sites, in units of the cell vectors:
1 Co 0.0000 0.4803 0.9489  0.41
2 Co 0.0000 0.4686 0.5197  0.41
3 Ge 0.5000 0.9338 0.3651  -0.02
4 Ge 0.0000 0.3333 0.6667  -0.06
5 Ge 0.0000 0.2205 0.2760  -0.01
6 U 0.0000 0.6667 0.3333  1.25
7 Co 0.0000 0.7858 0.7323  0.15
8 Co 0.5000 0.3957 0.2966  -0.03
9 Co 0.5000 0.9009 0.6043  -0.03
10 Ge 0.0000 0.0556 0.7795  -0.01
11 Ge 0.5000 0.4313 0.0662  -0.02
12 Co 0.5000 0.5427 0.7692  0.96
13 Co 0.5000 0.2308 0.7735  0.96
14 Co 0.0000 0.0511 0.5314  0.41
15 Co 0.5000 0.2265 0.4573  0.96
16 Co 0.5000 0.7034 0.0991  -0.03
17 Ge 0.0000 0.7240 0.9444  -0.01
18 Co 0.0000 0.2677 0.0535  0.15
19 Ge 0.5000 0.6349 0.5687  -0.02
20 Co 0.0000 0.9465 0.2142  0.15
21 U 0.5000 0.0000 0.0000  1.28

=====

Entry 7:
First-principles (PBE-GGA) data for crystalline UCo12Ge6 at its relaxed geometry, as listed in Alexandria.

Cell lengths 6.6804, 6.6804, 6.6804 Å; angles 106.11, 106.11, 106.11 degrees
Each line ends with the local moment (μB).
Sites, in units of the cell vectors:
1 Ge 0.2554 0.2554 0.7064  -0.03
2 Co 0.4101 0.4101 0.1723  0.87
3 U 0.0000 0.0000 0.0000  -2.28
4 Co 0.5000 0.8761 0.1239  0.14
5 Ge 0.7446 0.2936 0.7446  -0.03
6 Co 0.8761 0.1239 0.5000  0.14
7 Co 0.5899 0.8277 0.5899  0.87
8 Ge 0.7064 0.2554 0.2554  -0.03
9 Co 0.8761 0.5000 0.1239  0.14
10 Ge 0.2554 0.7064 0.2554  -0.03
11 Co 0.1239 0.5000 0.8761  0.14
12 Co 0.1723 0.4101 0.4101  0.87
13 Ge 0.7446 0.7446 0.2936  -0.03
14 Co 0.5899 0.5899 0.8277  0.87
15 Co 0.1239 0.8761 0.5000  0.14
16 Co 0.5000 0.1239 0.8761  0.14
17 Co 0.4101 0.1723 0.4101  0.87
18 Ge 0.2936 0.7446 0.7446  -0.03
19 Co 0.8277 0.5899 0.5899  0.87

=====

Entry 8:
First-principles (PBE-GGA) data for crystalline UCo6Ge6 at its relaxed geometry, as listed in Alexandria.

Cell lengths 5.1005, 5.1005, 7.8923 Å; angles 90.00, 90.00, 120.00 degrees
Each line ends with the local moment (μB).
Sites, in units of the cell vectors:
1 Co 0.5000 0.0000 0.7486  0.02
2 Co 0.0000 0.5000 0.7486  0.02
3 U 0.0000 0.0000 0.0000  1.90
4 Co 0.5000 0.5000 0.7486  0.02
5 Co 0.0000 0.5000 0.2514  0.02
6 Co 0.5000 0.0000 0.2514  0.02
7 Ge 0.3333 0.6667 0.0000  0.02
8 Ge 0.0000 0.0000 0.3465  0.02
9 Ge 0.6667 0.3333 0.0000  0.02
10 Ge 0.6667 0.3333 0.5000  0.00
11 Ge 0.3333 0.6667 0.5000  0.00
12 Ge 0.0000 0.0000 0.6535  0.02
13 Co 0.5000 0.5000 0.2514  0.02

=====

Per-record final energy, eV per cell: -257.19; -208.45; -161.56; -202.25; -118.88; -145.08; -124.29; -84.66